VASP calculation (PBEsol) on an optimized crystal structure of FeRh2W. Values from VASP.

Calculated values
* volume: 13.0 Å³/atom
* magnetization: 0.0021 μB/atom
* energy above the most stable polymorph in this dataset: 0.012 eV per atom
* E_tot: -9.907 eV per atom
* E_form: -145 meV/atom
* space group: P4/mmm, No. 123

Cell and atoms, written as Quantum ESPRESSO input:
```
&SYSTEM
  ibrav = 0, nat = 4, ntyp = 3
/
ATOMIC_SPECIES
Fe 55.84 Fe.upf
Rh 102.91 Rh.upf
W 183.84 W.upf
CELL_PARAMETERS angstrom
3.716 0.000 0.000
0.000 3.716 0.000
0.000 0.000 3.773
ATOMIC_POSITIONS crystal
Fe 0.000 0.000 0.000
Rh 0.000 0.500 0.500
Rh 0.500 0.000 0.500
W 0.500 0.500 0.000
```

VASP calculation (PBEsol) on an optimized crystal structure of AgAsRhSe2. Values from VASP.

Calculated values
* volume: 22.8 Å³/atom
* magnetization: 0.0000 μB/atom
* E_tot: -3.626 eV per atom
* uncorrected formation energy: 6.12 eV/f.u.
* space group: P4/mmm, No. 123

Cell and atoms, written as Quantum ESPRESSO input:
```
&SYSTEM
  ibrav = 0, nat = 5, ntyp = 4
/
ATOMIC_SPECIES
Ag 107.87 Ag.upf
As 74.92 As.upf
Rh 102.91 Rh.upf
Se 78.96 Se.upf
CELL_PARAMETERS angstrom
4.887 0.000 0.000
0.000 4.887 0.000
0.000 0.000 4.780
ATOMIC_POSITIONS crystal
Ag 0.000 0.000 0.000
As 0.000 0.000 0.500
Rh 0.500 0.500 0.500
Se 0.000 0.500 0.000
Se 0.500 0.000 0.000
```

VASP calculation (PBEsol) on an optimized crystal structure of KCrCCl2. Values from VASP.

Calculated values
* volume: 22.4 Å³/atom
* magnetization: 1.3355 μB/atom
* E_tot: -3.775 eV per atom
* uncorrected formation energy: 6.16 eV/f.u.
* space group: P4/mmm, No. 123

Cell and atoms, written as Quantum ESPRESSO input:
```
&SYSTEM
  ibrav = 0, nat = 5, ntyp = 4
/
ATOMIC_SPECIES
K 39.10 K.upf
Cr 52.00 Cr.upf
C 12.01 C.upf
Cl 35.45 Cl.upf
CELL_PARAMETERS angstrom
4.695 0.000 0.000
0.000 4.695 0.000
0.000 0.000 5.070
ATOMIC_POSITIONS crystal
K 0.000 0.000 0.000
Cr 0.500 0.500 0.000
C 0.000 0.000 0.500
Cl 0.000 0.500 0.500
Cl 0.500 0.000 0.500
```

VASP calculation (PBEsol) on an optimized crystal structure of KLaSb2. Values from VASP.

Calculated values
* volume: 29.4 Å³/atom
* magnetization: 0.0001 μB/atom
* energy above the most stable polymorph in this dataset: 0.497 eV per atom
* E_tot: -4.133 eV per atom
* uncorrected formation energy: -0.94 eV/f.u.
* space group: F-43m, No. 216

Cell and atoms, written as Quantum ESPRESSO input:
```
&SYSTEM
  ibrav = 0, nat = 4, ntyp = 3
/
ATOMIC_SPECIES
K 39.10 K.upf
La 138.91 La.upf
Sb 121.76 Sb.upf
CELL_PARAMETERS angstrom
0.000 3.891 3.891
3.891 0.000 3.891
3.891 3.891 0.000
ATOMIC_POSITIONS crystal
K 0.000 0.000 0.000
La 0.750 0.750 0.750
Sb 0.250 0.250 0.250
Sb 0.500 0.500 0.500
```

VASP calculation (PBEsol) on an optimized crystal structure of LaMn2Au. Values from VASP.

Calculated values
* volume: 17.9 Å³/atom
* magnetization: 0.1801 μB/atom
* E_tot: -7.120 eV per atom
* E_form: 78 meV/atom
* space group: P4mm, No. 99

Cell and atoms, written as Quantum ESPRESSO input:
```
&SYSTEM
  ibrav = 0, nat = 4, ntyp = 3
/
ATOMIC_SPECIES
La 138.91 La.upf
Mn 54.94 Mn.upf
Au 196.97 Au.upf
CELL_PARAMETERS angstrom
3.120 0.000 0.000
0.000 3.120 0.000
0.000 0.000 7.357
ATOMIC_POSITIONS crystal
La 0.000 0.000 0.000
Mn 0.000 0.000 0.461
Mn 0.500 0.500 0.311
Au 0.500 0.500 0.681
```

VASP calculation (PBEsol) on an optimized crystal structure of CuMo2O7. Values from VASP.

Calculated values
* volume: 15.0 Å³/atom
* magnetization: 0.0982 μB/atom
* E_tot: -8.064 eV per atom
* uncorrected formation energy: -16.03 eV/f.u.
* space group: P2/c, No. 13

Cell and atoms, written as Quantum ESPRESSO input:
```
&SYSTEM
  ibrav = 0, nat = 60, ntyp = 3
/
ATOMIC_SPECIES
Cu 63.55 Cu.upf
Mo 95.94 Mo.upf
O 16.00 O.upf
CELL_PARAMETERS angstrom
11.012 0.000 0.000
0.000 7.759 0.000
-0.171 0.000 10.566
ATOMIC_POSITIONS crystal
Cu 0.000 0.040 0.250
Cu 0.000 0.960 0.750
Cu 0.364 0.441 0.927
Cu 0.364 0.559 0.427
Cu 0.636 0.441 0.573
Cu 0.636 0.559 0.073
Mo 0.012 0.302 0.528
Mo 0.012 0.698 0.028
Mo 0.331 0.247 0.640
Mo 0.331 0.753 0.140
Mo 0.344 0.202 0.205
Mo 0.344 0.798 0.705
Mo 0.656 0.202 0.295
Mo 0.656 0.798 0.795
Mo 0.669 0.247 0.860
Mo 0.669 0.753 0.360
Mo 0.988 0.302 0.972
Mo 0.988 0.698 0.472
O 0.002 0.217 0.123
O 0.002 0.783 0.623
O 0.033 0.135 0.872
O 0.033 0.865 0.372
O 0.097 0.467 0.946
O 0.097 0.533 0.446
O 0.172 0.299 0.603
O 0.172 0.701 0.103
O 0.220 0.086 0.255
O 0.220 0.914 0.755
O 0.315 0.286 0.053
O 0.315 0.714 0.553
O 0.347 0.386 0.304
O 0.347 0.614 0.804
O 0.363 0.263 0.802
O 0.363 0.737 0.302
O 0.370 0.045 0.586
O 0.370 0.955 0.086
O 0.418 0.398 0.555
O 0.418 0.602 0.055
O 0.500 0.119 0.250
O 0.500 0.881 0.750
O 0.582 0.398 0.945
O 0.582 0.602 0.445
O 0.630 0.045 0.914
O 0.630 0.955 0.414
O 0.637 0.263 0.698
O 0.637 0.737 0.198
O 0.653 0.386 0.196
O 0.653 0.614 0.696
O 0.685 0.286 0.447
O 0.685 0.714 0.947
O 0.780 0.086 0.245
O 0.780 0.914 0.745
O 0.828 0.299 0.897
O 0.828 0.701 0.397
O 0.903 0.467 0.554
O 0.903 0.533 0.054
O 0.967 0.135 0.628
O 0.967 0.865 0.128
O 0.998 0.217 0.377
O 0.998 0.783 0.877
```

VASP calculation (PBEsol) on an optimized crystal structure of Ni2IrBr. Values from VASP.

Calculated values
* volume: 16.6 Å³/atom
* magnetization: 0.0014 μB/atom
* energy above the most stable polymorph in this dataset: 0.000 eV per atom
* E_tot: -5.461 eV per atom
* uncorrected formation energy: 2.17 eV/f.u.
* space group: Cm, No. 8

Cell and atoms, written as Quantum ESPRESSO input:
```
&SYSTEM
  ibrav = 0, nat = 4, ntyp = 3
/
ATOMIC_SPECIES
Ni 58.69 Ni.upf
Ir 192.22 Ir.upf
Br 79.90 Br.upf
CELL_PARAMETERS angstrom
3.935 -1.426 0.000
3.935 1.426 0.000
-1.459 0.000 5.910
ATOMIC_POSITIONS crystal
Ni 0.000 0.000 0.000
Ni 0.747 0.747 0.174
Ir 0.495 0.495 0.324
Br 0.114 0.114 0.683
```

VASP calculation (PBEsol) on an optimized crystal structure of MoAs2Au. Values from VASP.

Calculated values
* volume: 16.8 Å³/atom
* magnetization: 0.0001 μB/atom
* energy above the most stable polymorph in this dataset: 0.000 eV per atom
* E_tot: -6.095 eV per atom
* E_form: 381 meV/atom
* space group: C2/m, No. 12

Cell and atoms, written as Quantum ESPRESSO input:
```
&SYSTEM
  ibrav = 0, nat = 4, ntyp = 3
/
ATOMIC_SPECIES
Mo 95.94 Mo.upf
As 74.92 As.upf
Au 196.97 Au.upf
CELL_PARAMETERS angstrom
2.944 -4.322 0.000
2.944 4.322 0.000
-1.549 0.000 2.646
ATOMIC_POSITIONS crystal
Mo 0.000 0.000 0.000
As 0.000 0.500 0.500
As 0.500 0.000 0.500
Au 0.500 0.500 0.000
```

VASP calculation (PBEsol) on an optimized crystal structure of NdPO4. Values from VASP.

Calculated values
* volume: 13.0 Å³/atom
* magnetization: 0.0000 μB/atom
* E_tot: -8.343 eV per atom
* uncorrected formation energy: -18.10 eV/f.u.
* space group: I4_1/amd, No. 141

Cell and atoms, written as Quantum ESPRESSO input:
```
&SYSTEM
  ibrav = 0, nat = 12, ntyp = 3
/
ATOMIC_SPECIES
Nd 144.24 Nd.upf
P 30.97 P.upf
O 16.00 O.upf
CELL_PARAMETERS angstrom
-3.545 3.545 3.092
3.545 -3.545 3.092
3.545 3.545 -3.092
ATOMIC_POSITIONS crystal
Nd 0.375 0.625 0.750
Nd 0.625 0.375 0.250
P 0.125 0.875 0.250
P 0.875 0.125 0.750
O 0.142 0.720 0.422
O 0.202 0.280 0.922
O 0.280 0.202 0.422
O 0.280 0.858 0.078
O 0.720 0.142 0.922
O 0.720 0.798 0.578
O 0.798 0.720 0.078
O 0.858 0.280 0.578
```

VASP calculation (PBEsol) on an optimized crystal structure of Sc2ZnPb. Values from VASP.

Calculated values
* volume: 20.3 Å³/atom
* magnetization: 0.1544 μB/atom
* E_tot: -5.069 eV per atom
* E_form: -371 meV/atom
* space group: I4/mmm, No. 139

Cell and atoms, written as Quantum ESPRESSO input:
```
&SYSTEM
  ibrav = 0, nat = 4, ntyp = 3
/
ATOMIC_SPECIES
Sc 44.96 Sc.upf
Zn 65.41 Zn.upf
Pb 207.20 Pb.upf
CELL_PARAMETERS angstrom
-2.223 2.223 4.115
2.223 -2.223 4.115
2.223 2.223 -4.115
ATOMIC_POSITIONS crystal
Sc 0.250 0.750 0.500
Sc 0.750 0.250 0.500
Zn 0.000 0.000 0.000
Pb 0.500 0.500 0.000
```

VASP calculation (PBEsol) on an optimized crystal structure of Rb2BiC. Values from VASP.

Calculated values
* volume: 44.8 Å³/atom
* magnetization: 0.0000 μB/atom
* energy above the most stable polymorph in this dataset: 0.000 eV per atom
* E_tot: -3.155 eV per atom
* E_form: 840 meV/atom
* space group: I-42d, No. 122

Cell and atoms, written as Quantum ESPRESSO input:
```
&SYSTEM
  ibrav = 0, nat = 8, ntyp = 3
/
ATOMIC_SPECIES
Rb 85.47 Rb.upf
Bi 208.98 Bi.upf
C 12.01 C.upf
CELL_PARAMETERS angstrom
-6.208 6.208 2.327
6.208 -6.208 2.327
6.208 6.208 -2.327
ATOMIC_POSITIONS crystal
Rb 0.375 0.078 0.203
Rb 0.828 0.625 0.703
Rb 0.875 0.172 0.797
Rb 0.922 0.125 0.297
Bi 0.250 0.750 0.500
Bi 0.500 0.500 0.000
C 0.000 0.000 0.000
C 0.750 0.250 0.500
```

VASP calculation (PBEsol) on an optimized crystal structure of KHg2Au. Values from VASP.

Calculated values
* volume: 28.4 Å³/atom
* magnetization: 0.0000 μB/atom
* energy above the most stable polymorph in this dataset: 0.000 eV per atom
* E_tot: -1.727 eV per atom
* E_form: -179 meV/atom
* space group: R3m, No. 160

Cell and atoms, written as Quantum ESPRESSO input:
```
&SYSTEM
  ibrav = 0, nat = 4, ntyp = 3
/
ATOMIC_SPECIES
K 39.10 K.upf
Hg 200.59 Hg.upf
Au 196.97 Au.upf
CELL_PARAMETERS angstrom
2.402 1.387 5.692
-2.402 1.387 5.692
0.000 -2.774 5.692
ATOMIC_POSITIONS crystal
K 0.000 0.000 0.000
Hg 0.545 0.545 0.545
Hg 0.795 0.795 0.795
Au 0.194 0.194 0.194
```